(1)
This record from Alexandria describes a geometry-optimized AgRu2W structure. The functional is GGA-PBE.

```
data_AgRu2W
_chemical_formula_sum 'Ag2 Ru4 W2'
_cell_length_a 2.883
_cell_length_b 4.575
_cell_length_c 9.528
_cell_angle_alpha 90.00
_cell_angle_beta 90.00
_cell_angle_gamma 90.00
_symmetry_space_group_name_H-M 'C m m 2'
_symmetry_Int_Tables_number 35
_symmetry_space_group_name_Hall 'C 2 -2'
loop_
_atom_site_label
_atom_site_type_symbol
_atom_site_fract_x
_atom_site_fract_y
_atom_site_fract_z
Ag1 Ag 0.000 0.000 0.000
Ru1 Ru 0.000 0.000 0.504
Ru2 Ru 0.000 0.500 0.739
W1 W 0.000 0.500 0.268
```

Calculated values
The value obtained for the total magnetization is 1.56 μB per cell.


(2)
This record from Alexandria describes a geometry-optimized AgRu2W structure. The functional is GGA-PBE.

```
data_AgRu2W
_chemical_formula_sum 'Ag2 Ru4 W2'
_cell_length_a 3.052
_cell_length_b 4.572
_cell_length_c 9.071
_cell_angle_alpha 90.00
_cell_angle_beta 90.00
_cell_angle_gamma 90.00
_symmetry_space_group_name_H-M 'C m m m'
_symmetry_Int_Tables_number 65
_symmetry_space_group_name_Hall '-C 2 2'
loop_
_atom_site_label
_atom_site_type_symbol
_atom_site_fract_x
_atom_site_fract_y
_atom_site_fract_z
Ag1 Ag 0.000 0.000 0.000
Ru1 Ru 0.000 0.500 0.270
W1 W 0.000 0.000 0.500
```

Calculated values
The value obtained for the total magnetization is 0.00 μB per cell.


Verdict on stability: (1) comes out at the bottom.


(1)
This record from Alexandria describes a geometry-optimized AgRu2W structure. The functional is GGA-PBE.

```
data_AgRu2W
_chemical_formula_sum 'Ag2 Ru4 W2'
_cell_length_a 9.116
_cell_length_b 2.803
_cell_length_c 4.938
_cell_angle_alpha 90.00
_cell_angle_beta 101.22
_cell_angle_gamma 90.00
_symmetry_space_group_name_H-M 'C 1 2/m 1'
_symmetry_Int_Tables_number 12
_symmetry_space_group_name_Hall '-C 2y'
loop_
_atom_site_label
_atom_site_type_symbol
_atom_site_fract_x
_atom_site_fract_y
_atom_site_fract_z
Ag1 Ag 0.000 0.000 0.000
Ru1 Ru 0.237 0.000 0.725
W1 W 0.000 0.500 0.500
```

Calculated values
The value obtained for the total magnetization is 0.00 μB per cell.


(2)
This record from Alexandria describes a geometry-optimized AgRu2W structure. The functional is GGA-PBE.

```
data_AgRu2W
_chemical_formula_sum 'Ag1 Ru2 W1'
_cell_length_a 3.101
_cell_length_b 3.126
_cell_length_c 6.556
_cell_angle_alpha 90.00
_cell_angle_beta 90.00
_cell_angle_gamma 90.00
_symmetry_space_group_name_H-M 'P m m m'
_symmetry_Int_Tables_number 47
_symmetry_space_group_name_Hall '-P 2 2'
loop_
_atom_site_label
_atom_site_type_symbol
_atom_site_fract_x
_atom_site_fract_y
_atom_site_fract_z
Ag1 Ag 0.000 0.000 0.000
Ru1 Ru 0.500 0.500 0.281
W1 W 0.000 0.000 0.500
```

Calculated values
The value obtained for the total magnetization is 0.00 μB per cell.


Verdict on stability: (1) comes out at the bottom.


(1)
This record from Alexandria describes a geometry-optimized Ag2RuW structure. The functional is GGA-PBE.

```
data_Ag2RuW
_chemical_formula_sum 'Ag4 Ru2 W2'
_cell_length_a 3.759
_cell_length_b 3.759
_cell_length_c 9.109
_cell_angle_alpha 90.00
_cell_angle_beta 90.00
_cell_angle_gamma 90.00
_symmetry_space_group_name_H-M 'I 4/m m m'
_symmetry_Int_Tables_number 139
_symmetry_space_group_name_Hall '-I 4 2'
loop_
_atom_site_label
_atom_site_type_symbol
_atom_site_fract_x
_atom_site_fract_y
_atom_site_fract_z
Ag1 Ag 0.000 0.500 0.250
Ru1 Ru 0.000 0.000 0.000
W1 W 0.000 0.000 0.500
```

Calculated values
The value obtained for the total magnetization is 0.00 μB per cell.


(2)
This record from Alexandria describes a geometry-optimized Ag2RuW structure. The functional is GGA-PBE.

```
data_Ag2RuW
_chemical_formula_sum 'Ag6 Ru3 W3'
_cell_length_a 2.7794
_cell_length_b 2.7794
_cell_length_c 29.1265
_cell_angle_alpha 90.00
_cell_angle_beta 90.00
_cell_angle_gamma 120.00
_symmetry_space_group_name_H-M 'R -3 m'
_symmetry_Int_Tables_number 166
_symmetry_space_group_name_Hall '-R 3 2"'
loop_
_atom_site_label
_atom_site_type_symbol
_atom_site_fract_x
_atom_site_fract_y
_atom_site_fract_z
Ag1 Ag 0.0000 0.0000 0.2489
Ru1 Ru 0.0000 0.0000 0.5000
W1 W 0.0000 0.0000 0.0000
```

Calculated values
The value obtained for the total magnetization is 1.53 μB per cell.


Verdict on stability: (2) comes out at the bottom.


(1)
This record from Alexandria describes a geometry-optimized Ag2RuW structure. The functional is GGA-PBE.

```
data_Ag2RuW
_chemical_formula_sum 'Ag4 Ru2 W2'
_cell_length_a 2.876
_cell_length_b 4.626
_cell_length_c 9.914
_cell_angle_alpha 90.00
_cell_angle_beta 90.00
_cell_angle_gamma 90.00
_symmetry_space_group_name_H-M 'C m m m'
_symmetry_Int_Tables_number 65
_symmetry_space_group_name_Hall '-C 2 2'
loop_
_atom_site_label
_atom_site_type_symbol
_atom_site_fract_x
_atom_site_fract_y
_atom_site_fract_z
Ag1 Ag 0.000 0.000 0.247
Ru1 Ru 0.000 0.500 0.000
W1 W 0.000 0.500 0.500
```

Calculated values
The value obtained for the total magnetization is 1.24 μB per cell.


(2)
This record from Alexandria describes a geometry-optimized Ag2RuW structure. The functional is GGA-PBE.

```
data_Ag2RuW
_chemical_formula_sum 'Ag8 Ru4 W4'
_cell_length_a 6.364
_cell_length_b 6.364
_cell_length_c 6.364
_cell_angle_alpha 90.00
_cell_angle_beta 90.00
_cell_angle_gamma 90.00
_symmetry_space_group_name_H-M 'F m -3 m'
_symmetry_Int_Tables_number 225
_symmetry_space_group_name_Hall '-F 4 2 3'
loop_
_atom_site_label
_atom_site_type_symbol
_atom_site_fract_x
_atom_site_fract_y
_atom_site_fract_z
Ag1 Ag 0.250 0.250 0.250
Ru1 Ru 0.000 0.000 0.000
W1 W 0.000 0.000 0.500
```

Calculated values
The value obtained for the total magnetization is 0.00 μB per cell.


Verdict on stability: (2) comes out at the bottom.


(1)
This record from Alexandria describes a geometry-optimized Ag2RuW structure. The functional is GGA-PBE.

```
data_Ag2RuW
_chemical_formula_sum 'Ag2 Ru1 W1'
_cell_length_a 3.747
_cell_length_b 3.747
_cell_length_c 4.614
_cell_angle_alpha 90.00
_cell_angle_beta 90.00
_cell_angle_gamma 90.00
_symmetry_space_group_name_H-M 'P 4/m m m'
_symmetry_Int_Tables_number 123
_symmetry_space_group_name_Hall '-P 4 2'
loop_
_atom_site_label
_atom_site_type_symbol
_atom_site_fract_x
_atom_site_fract_y
_atom_site_fract_z
Ag1 Ag 0.000 0.500 0.000
Ru1 Ru 0.000 0.000 0.500
W1 W 0.500 0.500 0.500
```

Calculated values
The value obtained for the total magnetization is 0.00 μB per cell.


(2)
This record from Alexandria describes a geometry-optimized Ag2RuW structure. The functional is GGA-PBE.

```
data_Ag2RuW
_chemical_formula_sum 'Ag2 Ru1 W1'
_cell_length_a 4.909
_cell_length_b 4.909
_cell_length_c 2.729
_cell_angle_alpha 90.00
_cell_angle_beta 90.00
_cell_angle_gamma 90.00
_symmetry_space_group_name_H-M 'P 4/m m m'
_symmetry_Int_Tables_number 123
_symmetry_space_group_name_Hall '-P 4 2'
loop_
_atom_site_label
_atom_site_type_symbol
_atom_site_fract_x
_atom_site_fract_y
_atom_site_fract_z
Ag1 Ag 0.000 0.500 0.000
Ru1 Ru 0.000 0.000 0.500
W1 W 0.500 0.500 0.500
```

Calculated values
The value obtained for the total magnetization is 0.63 μB per cell.


Verdict on stability: (2) comes out at the bottom.


(1)
This record from Alexandria describes a geometry-optimized Ag2RuW structure. The functional is GGA-PBE.

```
data_Ag2RuW
_chemical_formula_sum 'Ag4 Ru2 W2'
_cell_length_a 9.133
_cell_length_b 2.746
_cell_length_c 5.236
_cell_angle_alpha 90.00
_cell_angle_beta 96.55
_cell_angle_gamma 90.00
_symmetry_space_group_name_H-M 'C 1 m 1'
_symmetry_Int_Tables_number 8
_symmetry_space_group_name_Hall 'C -2y'
loop_
_atom_site_label
_atom_site_type_symbol
_atom_site_fract_x
_atom_site_fract_y
_atom_site_fract_z
Ag1 Ag 0.000 0.000 0.000
Ag2 Ag 0.250 0.000 0.780
Ru1 Ru 0.005 0.500 0.480
W1 W 0.249 0.500 0.295
```

Calculated values
The value obtained for the total magnetization is 0.01 μB per cell.


(2)
This record from Alexandria describes a geometry-optimized Ag2RuW structure. The functional is GGA-PBE.

```
data_Ag2RuW
_chemical_formula_sum 'Ag8 Ru4 W4'
_cell_length_a 7.446
_cell_length_b 7.446
_cell_length_c 5.132
_cell_angle_alpha 90.00
_cell_angle_beta 90.00
_cell_angle_gamma 90.00
_symmetry_space_group_name_H-M 'I -4 2 d'
_symmetry_Int_Tables_number 122
_symmetry_space_group_name_Hall 'I -4 2bw'
loop_
_atom_site_label
_atom_site_type_symbol
_atom_site_fract_x
_atom_site_fract_y
_atom_site_fract_z
Ag1 Ag 0.249 0.250 0.125
Ru1 Ru 0.000 0.000 0.000
W1 W 0.000 0.000 0.500
```

Calculated values
The value obtained for the total magnetization is 0.60 μB per cell.


(3)
This record from Alexandria describes a geometry-optimized Ag2RuW structure. The functional is GGA-PBE.

```
data_Ag2RuW
_chemical_formula_sum 'Ag6 Ru3 W3'
_cell_length_a 2.8062
_cell_length_b 2.8062
_cell_length_c 28.8993
_cell_angle_alpha 90.00
_cell_angle_beta 90.00
_cell_angle_gamma 120.00
_symmetry_space_group_name_H-M 'R 3 m'
_symmetry_Int_Tables_number 160
_symmetry_space_group_name_Hall 'R 3 -2"'
loop_
_atom_site_label
_atom_site_type_symbol
_atom_site_fract_x
_atom_site_fract_y
_atom_site_fract_z
Ag1 Ag 0.0000 0.0000 0.0000
Ag2 Ag 0.0000 0.0000 0.2457
Ru1 Ru 0.0000 0.0000 0.7525
W1 W 0.0000 0.0000 0.4916
```

Calculated values
The value obtained for the total magnetization is 0.00 μB per cell.


(4)
This record from Alexandria describes a geometry-optimized Ag2RuW structure. The functional is GGA-PBE.

```
data_Ag2RuW
_chemical_formula_sum 'Ag2 Ru1 W1'
_cell_length_a 2.914
_cell_length_b 2.914
_cell_length_c 7.911
_cell_angle_alpha 90.00
_cell_angle_beta 90.00
_cell_angle_gamma 90.00
_symmetry_space_group_name_H-M 'P 4 m m'
_symmetry_Int_Tables_number 99
_symmetry_space_group_name_Hall 'P 4 -2'
loop_
_atom_site_label
_atom_site_type_symbol
_atom_site_fract_x
_atom_site_fract_y
_atom_site_fract_z
Ag1 Ag 0.000 0.000 0.000
Ag2 Ag 0.500 0.500 0.263
Ru1 Ru 0.000 0.000 0.531
W1 W 0.500 0.500 0.725
```

Calculated values
The value obtained for the total magnetization is 0.00 μB per cell.


Verdict on stability: (2) comes out at the bottom.


(1)
This record from Alexandria describes a geometry-optimized Ag2RuW structure. The functional is GGA-PBE.

```
data_Ag2RuW
_chemical_formula_sum 'Ag4 Ru2 W2'
_cell_length_a 9.889
_cell_length_b 2.801
_cell_length_c 4.718
_cell_angle_alpha 90.00
_cell_angle_beta 99.30
_cell_angle_gamma 90.00
_symmetry_space_group_name_H-M 'C 1 2/m 1'
_symmetry_Int_Tables_number 12
_symmetry_space_group_name_Hall '-C 2y'
loop_
_atom_site_label
_atom_site_type_symbol
_atom_site_fract_x
_atom_site_fract_y
_atom_site_fract_z
Ag1 Ag 0.249 0.000 0.250
Ru1 Ru 0.000 0.500 0.000
W1 W 0.000 0.000 0.500
```

Calculated values
The value obtained for the total magnetization is 0.79 μB per cell.


(2)
This record from Alexandria describes a geometry-optimized Ag2RuW structure. The functional is GGA-PBE.

```
data_Ag2RuW
_chemical_formula_sum 'Ag2 Ru1 W1'
_cell_length_a 3.088
_cell_length_b 4.320
_cell_length_c 4.900
_cell_angle_alpha 90.00
_cell_angle_beta 90.00
_cell_angle_gamma 90.00
_symmetry_space_group_name_H-M 'P m m m'
_symmetry_Int_Tables_number 47
_symmetry_space_group_name_Hall '-P 2 2'
loop_
_atom_site_label
_atom_site_type_symbol
_atom_site_fract_x
_atom_site_fract_y
_atom_site_fract_z
Ag1 Ag 0.000 0.000 0.000
Ag2 Ag 0.500 0.500 0.000
Ru1 Ru 0.000 0.500 0.500
W1 W 0.500 0.000 0.500
```

Calculated values
The value obtained for the total magnetization is 0.00 μB per cell.


Verdict on stability: (2) comes out at the bottom.


(1)
This record from Alexandria describes a geometry-optimized Ag3RuW structure. The functional is GGA-PBE.

```
data_Ag3RuW
_chemical_formula_sum 'Ag3 Ru1 W1'
_cell_length_a 4.837
_cell_length_b 4.837
_cell_length_c 4.837
_cell_angle_alpha 90.00
_cell_angle_beta 90.00
_cell_angle_gamma 90.00
_symmetry_space_group_name_H-M 'P m -3 m'
_symmetry_Int_Tables_number 221
_symmetry_space_group_name_Hall '-P 4 2 3'
loop_
_atom_site_label
_atom_site_type_symbol
_atom_site_fract_x
_atom_site_fract_y
_atom_site_fract_z
Ag1 Ag 0.000 0.000 0.500
Ru1 Ru 0.000 0.000 0.000
W1 W 0.500 0.500 0.500
```

Calculated values
The value obtained for the total magnetization is 0.00 μB per cell.


(2)
This record from Alexandria describes a geometry-optimized Ag3RuW structure. The functional is GGA-PBE.

```
data_Ag3RuW
_chemical_formula_sum 'Ag3 Ru1 W1'
_cell_length_a 4.995
_cell_length_b 4.995
_cell_length_c 4.995
_cell_angle_alpha 90.00
_cell_angle_beta 90.00
_cell_angle_gamma 90.00
_symmetry_space_group_name_H-M 'P m -3 m'
_symmetry_Int_Tables_number 221
_symmetry_space_group_name_Hall '-P 4 2 3'
loop_
_atom_site_label
_atom_site_type_symbol
_atom_site_fract_x
_atom_site_fract_y
_atom_site_fract_z
Ag1 Ag 0.000 0.000 0.500
Ru1 Ru 0.500 0.500 0.500
W1 W 0.000 0.000 0.000
```

Calculated values
The value obtained for the total magnetization is 2.68 μB per cell.


Verdict on stability: (1) comes out at the bottom.